# PBE Tm3ZnGe3, relaxed
data_Tm3ZnGe3
_chemical_formula_sum 'Tm12 Zn4 Ge12'
_space_group_name_H-M_alt 'C 1 2/m 1'
_space_group_IT_number 12
_cell_length_a 10.6961
_cell_length_b 4.1980
_cell_length_c 13.7143
_cell_angle_alpha 90.00
_cell_angle_beta 108.81
_cell_angle_gamma 90.00
loop_
_space_group_symop_operation_xyz
'x,y,z'
'-x,-y,-z'
'-x,y,-z'
'x,-y,z'
'x+1/2,y+1/2,z'
'-x+1/2,-y+1/2,-z'
'-x+1/2,y+1/2,-z'
'x+1/2,-y+1/2,z'
loop_
_atom_site_label
_atom_site_fract_x
_atom_site_fract_y
_atom_site_fract_z
Tm1 0.0188 0.0000 0.3764
Tm2 0.1035 0.0000 0.9217
Tm3 0.2384 0.0000 0.2250
Zn1 0.2297 0.5000 0.3878
Ge1 0.0161 0.5000 0.2265
Ge2 0.1203 0.5000 0.0750
Ge3 0.1361 0.5000 0.5471
# - Energy above the most stable polymorph in this dataset: 0 meV per atom
# - ΔH_f (0 K): -0.718 eV/atom